CaIr3Cl | PBE | optimized geometry

- formation energy without anion corrections (eV per atom) = 2.52
- crystal system = cubic
- E above lowest polymorph (meV/atom) = 1622
- total magnetic moment (μB/cell) = 4.2

Geometry as CIF:
```
data_CaIr3Cl
_chemical_formula_sum 'Ca1 Ir3 Cl1'
_cell_length_a 5.014
_cell_length_b 5.014
_cell_length_c 5.014
_cell_angle_alpha 90.00
_cell_angle_beta 90.00
_cell_angle_gamma 90.00
_symmetry_space_group_name_H-M 'P m -3 m'
_symmetry_Int_Tables_number 221
_symmetry_space_group_name_Hall '-P 4 2 3'
loop_
_atom_site_label
_atom_site_fract_x
_atom_site_fract_y
_atom_site_fract_z
_atom_site_occupancy
Ca1 0.000 0.000 0.000 1
Ir1 0.000 0.000 0.500 1
Cl1 0.500 0.500 0.500 1
```



Ho2Tm5Tl4 | PBE | optimized geometry

- crystal system = orthorhombic
- E_form (eV per atom) = 0.144
- total magnetic moment (μB/cell) = 0.0

Geometry as CIF:
```
data_Ho2Tm5Tl4
_chemical_formula_sum 'Ho4 Tm10 Tl8'
_cell_length_a 5.151
_cell_length_b 10.492
_cell_length_c 13.220
_cell_angle_alpha 90.00
_cell_angle_beta 90.00
_cell_angle_gamma 90.00
_symmetry_space_group_name_H-M 'I m m m'
_symmetry_Int_Tables_number 71
_symmetry_space_group_name_Hall '-I 2 2'
loop_
_atom_site_label
_atom_site_fract_x
_atom_site_fract_y
_atom_site_fract_z
_atom_site_occupancy
Ho1 0.000 0.000 0.169 1
Tm1 0.000 0.344 0.217 1
Tm2 0.000 0.500 0.500 1
Tl1 0.000 0.000 0.391 1
Tl2 0.000 0.210 0.000 1
```



AcNd6Dy2Y | PBE | optimized geometry

- crystal system = monoclinic
- E_form (eV per atom) = 0.116
- total magnetic moment (μB/cell) = 0.0

Geometry as CIF:
```
data_AcNd6Dy2Y
_chemical_formula_sum 'Ac4 Nd24 Dy8 Y4'
_cell_length_a 9.381
_cell_length_b 15.557
_cell_length_c 9.824
_cell_angle_alpha 90.00
_cell_angle_beta 96.24
_cell_angle_gamma 90.00
_symmetry_space_group_name_H-M 'C 1 2/c 1'
_symmetry_Int_Tables_number 15
_symmetry_space_group_name_Hall '-C 2yc'
loop_
_atom_site_label
_atom_site_fract_x
_atom_site_fract_y
_atom_site_fract_z
_atom_site_occupancy
Ac1 0.000 0.027 0.250 1
Nd1 0.062 0.185 0.946 1
Nd2 0.101 0.392 0.119 1
Nd3 0.216 0.228 0.317 1
Dy1 0.242 0.445 0.454 1
Y1 0.000 0.411 0.750 1
```



GaSn2Hg2 | PBE | optimized geometry

- crystal system = tetragonal
- E_form (eV per atom) = 0.146
- E above lowest polymorph (meV/atom) = 28
- total magnetic moment (μB/cell) = 0.0

Geometry as CIF:
```
data_GaSn2Hg2
_chemical_formula_sum 'Ga2 Sn4 Hg4'
_cell_length_a 7.426
_cell_length_b 7.426
_cell_length_c 4.712
_cell_angle_alpha 90.00
_cell_angle_beta 90.00
_cell_angle_gamma 90.00
_symmetry_space_group_name_H-M 'P 4/m b m'
_symmetry_Int_Tables_number 127
_symmetry_space_group_name_Hall '-P 4 2ab'
loop_
_atom_site_label
_atom_site_fract_x
_atom_site_fract_y
_atom_site_fract_z
_atom_site_occupancy
Ga1 0.000 0.000 0.000 1
Sn1 0.168 0.332 0.500 1
Hg1 0.142 0.642 0.000 1
```



MnTeOs3 | PBE | optimized geometry

- formation energy without anion corrections (eV per atom) = 1.68
- crystal system = cubic
- E above lowest polymorph (meV/atom) = 0
- total magnetic moment (μB/cell) = 0.0

Geometry as CIF:
```
data_MnTeOs3
_chemical_formula_sum 'Mn1 Te1 Os3'
_cell_length_a 4.491
_cell_length_b 4.491
_cell_length_c 4.491
_cell_angle_alpha 90.00
_cell_angle_beta 90.00
_cell_angle_gamma 90.00
_symmetry_space_group_name_H-M 'P m -3 m'
_symmetry_Int_Tables_number 221
_symmetry_space_group_name_Hall '-P 4 2 3'
loop_
_atom_site_label
_atom_site_fract_x
_atom_site_fract_y
_atom_site_fract_z
_atom_site_occupancy
Mn1 0.000 0.000 0.000 1
Te1 0.500 0.500 0.500 1
Os1 0.000 0.000 0.500 1
```



Li2LaGd | PBE | optimized geometry

- crystal system = cubic
- E_form (eV per atom) = 0.130
- E above lowest polymorph (meV/atom) = 0
- total magnetic moment (μB/cell) = 33.0

Geometry as CIF:
```
data_Li2LaGd
_chemical_formula_sum 'Li8 La4 Gd4'
_cell_length_a 7.623
_cell_length_b 7.623
_cell_length_c 7.623
_cell_angle_alpha 90.00
_cell_angle_beta 90.00
_cell_angle_gamma 90.00
_symmetry_space_group_name_H-M 'F m -3 m'
_symmetry_Int_Tables_number 225
_symmetry_space_group_name_Hall '-F 4 2 3'
loop_
_atom_site_label
_atom_site_fract_x
_atom_site_fract_y
_atom_site_fract_z
_atom_site_occupancy
Li1 0.250 0.250 0.250 1
La1 0.000 0.000 0.000 1
Gd1 0.000 0.000 0.500 1
```



Be2FeSiC | PBE | optimized geometry

- formation energy without anion corrections (eV per atom) = 1.94
- crystal system = tetragonal
- total magnetic moment (μB/cell) = 0.4

Geometry as CIF:
```
data_Be2FeSiC
_chemical_formula_sum 'Be2 Fe1 Si1 C1'
_cell_length_a 4.035
_cell_length_b 4.035
_cell_length_c 4.199
_cell_angle_alpha 90.00
_cell_angle_beta 90.00
_cell_angle_gamma 90.00
_symmetry_space_group_name_H-M 'P 4/m m m'
_symmetry_Int_Tables_number 123
_symmetry_space_group_name_Hall '-P 4 2'
loop_
_atom_site_label
_atom_site_fract_x
_atom_site_fract_y
_atom_site_fract_z
_atom_site_occupancy
Be1 0.000 0.500 0.000 1
Fe1 0.000 0.000 0.500 1
Si1 0.000 0.000 0.000 1
C1 0.500 0.500 0.500 1
```



TlZnPbCl5 | PBE | optimized geometry

- formation energy without anion corrections (eV per atom) = -1.12
- crystal system = monoclinic
- total magnetic moment (μB/cell) = 0.0

Geometry as CIF:
```
data_TlZnPbCl5
_chemical_formula_sum 'Tl4 Zn4 Pb4 Cl20'
_cell_length_a 9.249
_cell_length_b 12.312
_cell_length_c 10.190
_cell_angle_alpha 90.00
_cell_angle_beta 114.19
_cell_angle_gamma 90.00
_symmetry_space_group_name_H-M 'C 1 2/c 1'
_symmetry_Int_Tables_number 15
_symmetry_space_group_name_Hall '-C 2yc'
loop_
_atom_site_label
_atom_site_fract_x
_atom_site_fract_y
_atom_site_fract_z
_atom_site_occupancy
Tl1 0.000 0.151 0.250 1
Zn1 0.000 0.184 0.750 1
Pb1 0.000 0.500 0.000 1
Cl1 0.000 0.402 0.250 1
Cl2 0.124 0.289 0.639 1
Cl3 0.170 0.073 0.929 1
```



Among the records above, which one has the highest total magnetic moment?
Li2LaGd